Below is a geometry-optimized PuNbSi structure, with properties calculated at the PBE level.

Summary:
**Energy relative to the elements, uncorrected**: -377 meV/atom
**Space-group type**: No. 69
**DOS(E_F)**: 2.06 states/eV per atom
**Crystal system**: orthorhombic
**Total energy**: -10.319 eV per atom

a = 4.988 Å, b = 4.988 Å, c = 5.698 Å
α = 103.61°, β = 103.61°, γ = 117.54°
Each line ends with the local moment (μB).
Sites, in units of the cell vectors:
Si  0.750  0.250  0.500  -0.03
Si  0.250  0.750  0.500  -0.03
Pu  0.665  0.335  0.000  4.80
Nb  0.153  0.153  0.305  -0.33
Pu  0.335  0.665  0.000  4.80
Nb  0.847  0.847  0.695  -0.33

Below is a geometry-optimized PuNbSi structure, with properties calculated at the PBE level.

Summary:
**Energy relative to the elements, uncorrected**: -48 meV/atom
**Space-group type**: No. 187
**DOS(E_F)**: 2.08 states/eV per atom
**Crystal system**: hexagonal
**Total energy**: -9.990 eV per atom

a = 3.600 Å, b = 4.441 Å, c = 4.441 Å
α = 120.00°, β = 90.00°, γ = 90.00°
Each line ends with the local moment (μB).
Sites, in units of the cell vectors:
Nb  0.167  0.333  0.667  -0.25
Si  0.166  0.000  0.000  -0.04
Pu  0.667  0.667  0.333  4.99

Repeat the first record exactly.
Below is a geometry-optimized PuNbSi structure, with properties calculated at the PBE level.

Summary:
**Energy relative to the elements, uncorrected**: -377 meV/atom
**Space-group type**: No. 69
**DOS(E_F)**: 2.06 states/eV per atom
**Crystal system**: orthorhombic
**Total energy**: -10.319 eV per atom

a = 4.988 Å, b = 4.988 Å, c = 5.698 Å
α = 103.61°, β = 103.61°, γ = 117.54°
Each line ends with the local moment (μB).
Sites, in units of the cell vectors:
Si  0.750  0.250  0.500  -0.03
Si  0.250  0.750  0.500  -0.03
Pu  0.665  0.335  0.000  4.80
Nb  0.153  0.153  0.305  -0.33
Pu  0.335  0.665  0.000  4.80
Nb  0.847  0.847  0.695  -0.33

What did the first record say?
Below is a geometry-optimized PuNbSi structure, with properties calculated at the PBE level.

Summary:
**Energy relative to the elements, uncorrected**: -377 meV/atom
**Space-group type**: No. 69
**DOS(E_F)**: 2.06 states/eV per atom
**Crystal system**: orthorhombic
**Total energy**: -10.319 eV per atom

a = 4.988 Å, b = 4.988 Å, c = 5.698 Å
α = 103.61°, β = 103.61°, γ = 117.54°
Each line ends with the local moment (μB).
Sites, in units of the cell vectors:
Si  0.750  0.250  0.500  -0.03
Si  0.250  0.750  0.500  -0.03
Pu  0.665  0.335  0.000  4.80
Nb  0.153  0.153  0.305  -0.33
Pu  0.335  0.665  0.000  4.80
Nb  0.847  0.847  0.695  -0.33

What did the first record say?
Below is a geometry-optimized PuNbSi structure, with properties calculated at the PBE level.

Summary:
**Energy relative to the elements, uncorrected**: -377 meV/atom
**Space-group type**: No. 69
**DOS(E_F)**: 2.06 states/eV per atom
**Crystal system**: orthorhombic
**Total energy**: -10.319 eV per atom

a = 4.988 Å, b = 4.988 Å, c = 5.698 Å
α = 103.61°, β = 103.61°, γ = 117.54°
Each line ends with the local moment (μB).
Sites, in units of the cell vectors:
Si  0.750  0.250  0.500  -0.03
Si  0.250  0.750  0.500  -0.03
Pu  0.665  0.335  0.000  4.80
Nb  0.153  0.153  0.305  -0.33
Pu  0.335  0.665  0.000  4.80
Nb  0.847  0.847  0.695  -0.33